VASP calculation (PBE+U) on Li3VO4 after structural relaxation.

As for the raw total energy: -6.276 eV per atom.

It has space group Pnma (No. 62), with a = 11.0022 Å, b = 6.3947 Å, c = 5.1760 Å, α = 90.00°, β = 90.00° and γ = 90.00°. The inequivalent atoms are Li at (0.0778, 0.2500, 0.1918), Li at (0.1664, 0.5045, 0.8117), V at (0.0864, 0.7500, 0.3150), O at (0.0628, 0.2500, 0.7971), O at (0.0866, 0.7500, 0.6535) and O at (0.1620, 0.5270, 0.2051).